(1)
A relaxed K2RbSe crystal, computed with GGA-PBE.

POSCAR file:
```
K2RbSe
1.0
5.164 0.000 0.000
2.582 4.472 0.000
2.582 1.491 10.085
Se Rb K
1 1 2
Cartesian
0.000 0.000 0.000
5.164 2.982 5.042
7.747 4.472 8.837
2.582 1.491 1.248
```

calculated density: 1.73 g cm⁻³
formation energy without anion corrections: -2.77 eV/f.u.
raw total energy: -9.41 eV/f.u.



(2)
A relaxed SrSe2IBr crystal, computed with GGA-PBE.

POSCAR file:
```
SrSe2IBr
1.0
5.538 0.000 0.000
0.000 5.538 0.000
0.000 0.000 5.611
Sr I Br Se
1 1 1 2
Cartesian
2.769 2.769 2.805
0.000 0.000 0.000
0.000 0.000 2.805
0.000 2.769 0.000
2.769 0.000 0.000
```

calculated density: 4.37 g cm⁻³
formation energy without anion corrections: -1.82 eV/f.u.
raw total energy: -13.70 eV/f.u.
polymorph energy (0 for the lowest one): 0 meV per atom



(3)
A relaxed Ac12LaY3 crystal, computed with GGA-PBE.

POSCAR file:
```
Ac12LaY3
1.0
-3.810 3.835 1.082
-2.799 -3.642 3.049
11.338 6.229 17.846
Ac Y La
12 3 1
Cartesian
5.180 4.758 15.421
7.993 7.355 16.121
5.678 2.068 12.665
5.172 5.806 11.681
8.499 3.617 17.105
2.861 0.520 8.230
-0.452 1.664 6.556
-3.305 0.097 2.066
2.355 4.258 7.247
-0.466 2.708 2.807
0.040 -1.030 3.791
2.364 3.211 10.989
8.487 4.663 13.359
2.850 1.566 4.487
5.669 3.114 8.923
0.000 0.000 0.000
```

calculated density: 7.76 g cm⁻³
raw total energy: -73.19 eV/f.u.
E_form: 0.027 eV per atom